(1)
A plane-wave DFT calculation with GGA-PBE was carried out for a relaxed structure of LaBeSnBr2.

a = 5.882 Å, b = 4.457 Å, c = 5.882 Å
α = 90.00°, β = 90.00°, γ = 90.00°
Fractional positions:
Sn 0.000 0.000 0.000
Be 0.000 0.500 0.000
La 0.500 0.500 0.500
Br 0.000 0.000 0.500
Br 0.500 0.000 0.000

E_form (uncorrected) = -0.008 eV per atom
uncorrected energy = -3.209 eV/atom

(2)
A plane-wave DFT calculation with GGA-PBE was carried out for a relaxed structure of LaY2BeBr.

a = 5.923 Å, b = 5.599 Å, c = 5.923 Å
α = 90.00°, β = 90.00°, γ = 90.00°
Fractional positions:
Br 0.000 0.500 0.000
Y 0.000 0.000 0.500
Be 0.500 0.500 0.500
La 0.000 0.000 0.000
Y 0.500 0.000 0.000

E_form (uncorrected) = 1.001 eV per atom
uncorrected energy = -3.650 eV/atom

(3)
A plane-wave DFT calculation with GGA-PBE was carried out for a relaxed structure of LiBeBr2.

a = 5.705 Å, b = 6.847 Å, c = 4.280 Å
α = 102.43°, β = 59.72°, γ = 132.90°
Fractional positions:
Br 0.000 0.500 0.500
Br 0.000 0.000 0.000
Be 0.500 0.000 0.500
Li 0.500 0.500 0.000

E_form (uncorrected) = -0.417 eV per atom
uncorrected energy = -2.664 eV/atom
excess energy over the best structure of this formula in the dataset = 197 meV/atom

(4)
A plane-wave DFT calculation with GGA-PBE was carried out for a relaxed structure of LiBe2Br.

a = 4.055 Å, b = 4.055 Å, c = 5.749 Å
α = 99.79°, β = 99.79°, γ = 47.89°
Fractional positions:
Be 0.352 0.352 0.134
Be 0.050 0.050 0.060
Br 0.384 0.384 0.522
Li 0.714 0.714 0.784

E_form (uncorrected) = 0.120 eV per atom
uncorrected energy = -2.640 eV/atom
excess energy over the best structure of this formula in the dataset = 18 meV/atom

(5)
A plane-wave DFT calculation with GGA-PBE was carried out for a relaxed structure of LiBe2Br.

a = 4.590 Å, b = 4.590 Å, c = 4.590 Å
α = 60.00°, β = 60.00°, γ = 60.00°
Fractional positions:
Be 0.000 0.000 0.000
Br 0.500 0.500 0.500
Li 0.750 0.750 0.750
Be 0.250 0.250 0.250

E_form (uncorrected) = 0.756 eV per atom
uncorrected energy = -2.004 eV/atom
excess energy over the best structure of this formula in the dataset = 653 meV/atom

(6)
A plane-wave DFT calculation with GGA-PBE was carried out for a relaxed structure of LiBe2Br.

a = 5.143 Å, b = 5.143 Å, c = 5.143 Å
α = 144.60°, β = 109.86°, γ = 81.09°
Fractional positions:
Be 0.750 0.250 0.500
Li 0.250 0.750 0.500
Br 0.531 0.531 0.000
Be 0.969 0.969 0.000

E_form (uncorrected) = 0.487 eV per atom
uncorrected energy = -2.273 eV/atom
excess energy over the best structure of this formula in the dataset = 385 meV/atom

(7)
A plane-wave DFT calculation with GGA-PBE was carried out for a relaxed structure of Li4BeBr6.

a = 7.353 Å, b = 7.352 Å, c = 12.764 Å
α = 73.97°, β = 73.26°, γ = 60.00°
Fractional positions:
Be 0.145 0.278 0.894
Li 0.558 0.708 0.959
Br 0.410 0.528 0.144
Li 0.776 0.208 0.459
Li 0.262 0.741 0.307
Br 0.221 0.330 0.713
Br 0.736 0.830 0.213
Br 0.020 0.154 0.267
Br 0.918 0.028 0.644
Li 0.901 0.679 0.654
Br 0.991 0.606 0.450
Br 0.962 0.580 0.958
Br 0.953 0.106 0.950
Li 0.289 0.982 0.651
Br 0.443 0.101 0.958
Br 0.498 0.601 0.458
Br 0.560 0.654 0.767
Li 0.766 0.179 0.154
Li 0.078 0.482 0.151
Be 0.684 0.778 0.394
Li 0.690 0.241 0.807
Br 0.500 0.080 0.458

E_form (uncorrected) = -1.389 eV per atom
uncorrected energy = -3.336 eV/atom

(8)
A plane-wave DFT calculation with GGA-PBE was carried out for a relaxed structure of LiBeBr2.

a = 4.034 Å, b = 4.034 Å, c = 7.370 Å
α = 90.00°, β = 90.00°, γ = 128.18°
Fractional positions:
Br 0.000 0.000 0.509
Li 0.500 0.500 0.250
Be 0.500 0.500 0.750
Br 0.000 0.000 0.991

E_form (uncorrected) = -0.303 eV per atom
uncorrected energy = -2.549 eV/atom
excess energy over the best structure of this formula in the dataset = 312 meV/atom